Below is crystalline ReI at its relaxed geometry, with properties calculated at the PBE level.

Computed properties:
E_tot in eV/cell: -58.307
DOS at the Fermi energy in states/eV per cell: 20.776
Uncorrected formation energy in eV per atom: 2.140
Volume in A^3/atom: 33.081

abc: 7.3494 7.3494 7.3494
angles: 90.00 90.00 90.00
Positions (direct):
Re  0.2500  0.0000  0.5000
Re  0.7500  0.0000  0.5000
Re  0.0000  0.5000  0.2500
Re  0.0000  0.5000  0.7500
Re  0.5000  0.2500  0.0000
Re  0.5000  0.7500  0.0000
I  0.2500  0.5000  0.0000
I  0.7500  0.5000  0.0000
I  0.5000  0.0000  0.2500
I  0.5000  0.0000  0.7500
I  0.0000  0.2500  0.5000
I  0.0000  0.7500  0.5000



Below is crystalline Dy2PuSc6 at its relaxed geometry, with properties calculated at the PBE level.

Computed properties:
E_tot in eV/cell: -61.148
DOS at the Fermi energy in states/eV per cell: 17.807
ΔE_f in eV per atom: 0.042
Volume in A^3/atom: 25.981

abc: 3.3599 8.2442 10.6523
angles: 126.10 80.93 89.99
Positions (direct):
Dy  0.4073  0.8493  0.1851
Dy  0.5927  0.1507  0.8149
Pu  0.0000  0.0000  0.0000
Sc  0.9222  0.4827  0.1557
Sc  0.0778  0.5173  0.8443
Sc  0.6679  0.6616  0.6643
Sc  0.7393  0.1880  0.5211
Sc  0.2607  0.8120  0.4789
Sc  0.3321  0.3384  0.3357



Below is crystalline PrBiPt at its relaxed geometry, with properties calculated at the PBE level.

Computed properties:
E_tot in eV/cell: -33.793
DOS at the Fermi energy in states/eV per cell: 2.645
ΔE_f in eV per atom: -0.732
Volume in A^3/atom: 26.960

abc: 8.0535 4.4817 4.4817
angles: 90.00 90.00 90.00
Positions (direct):
Pr  0.8543  0.0000  0.5000
Pr  0.1457  0.5000  0.0000
Bi  0.5000  0.0000  0.0000
Bi  0.5000  0.5000  0.5000
Pt  0.2115  0.0000  0.5000
Pt  0.7885  0.5000  0.0000



Below is crystalline KSn3Rh at its relaxed geometry, with properties calculated at the PBE level.

Computed properties:
E_tot in eV/cell: -11.931
DOS at the Fermi energy in states/eV per cell: 6.444
ΔE_f in eV per atom: 1.705
Volume in A^3/atom: 35.381

abc: 5.6137 5.6137 5.6137
angles: 90.00 90.00 90.00
Positions (direct):
K  0.0000  0.0000  0.0000
Rh  0.5000  0.5000  0.5000
Sn  0.0000  0.5000  0.0000
Sn  0.0000  0.0000  0.5000
Sn  0.5000  0.0000  0.0000



Below is crystalline MgTlPb2 at its relaxed geometry, with properties calculated at the PBE level.

Computed properties:
E_tot in eV/cell: -11.411
DOS at the Fermi energy in states/eV per cell: 2.442
ΔE_f in eV per atom: -0.008
Volume in A^3/atom: 29.183

abc: 3.5787 3.5787 10.7254
angles: 80.40 80.40 60.00
Positions (direct):
Mg  0.6671  0.6671  0.9986
Tl  0.4992  0.4992  0.5025
Pb  0.0773  0.0773  0.7682
Pb  0.2564  0.2564  0.2307



Below is crystalline YZr2As at its relaxed geometry, with properties calculated at the PBE level.

Computed properties:
E_tot in eV/cell: -29.986
DOS at the Fermi energy in states/eV per cell: 3.671
ΔE_f in eV per atom: -0.444
Volume in A^3/atom: 22.577

abc: 3.5833 3.5833 7.0332
angles: 90.00 90.00 90.00
Positions (direct):
Y  0.5000  0.5000  0.7500
As  0.5000  0.5000  0.2500
Zr  0.0000  0.0000  0.0496
Zr  0.0000  0.0000  0.4504



Below is crystalline Zr2FeIr at its relaxed geometry, with properties calculated at the PBE level.

Computed properties:
E_tot in eV/cell: -34.059
DOS at the Fermi energy in states/eV per cell: 4.080
ΔE_f in eV per atom: 0.090
Volume in A^3/atom: 18.150

abc: 9.3134 9.3134 9.3134
angles: 18.71 18.71 18.71
Positions (direct):
Fe  0.4937  0.4937  0.4937
Ir  0.7562  0.7562  0.7562
Zr  0.0073  0.0073  0.0073
Zr  0.2428  0.2428  0.2428



Below is crystalline Al2CoSb at its relaxed geometry, with properties calculated at the PBE level.

Computed properties:
E_tot in eV/cell: -18.241
DOS at the Fermi energy in states/eV per cell: 2.960
Uncorrected formation energy in eV per atom: 0.118
Volume in A^3/atom: 17.582

abc: 8.0764 8.0764 8.0764
angles: 22.96 22.96 22.96
Positions (direct):
Sb  0.7616  0.7616  0.7616
Co  0.5027  0.5027  0.5027
Al  0.9962  0.9962  0.9962
Al  0.2395  0.2395  0.2395



Below is crystalline TbErCd at its relaxed geometry, with properties calculated at the PBE level.

Computed properties:
E_tot in eV/cell: -10.336
DOS at the Fermi energy in states/eV per cell: 3.548
ΔE_f in eV per atom: -0.076
Volume in A^3/atom: 28.096

abc: 3.5485 5.2372 5.2372
angles: 120.00 90.00 90.00
Positions (direct):
Cd  0.6866  0.6667  0.3333
Tb  0.3790  0.3333  0.6667
Er  0.9344  0.0000  0.0000



Below is crystalline CaTlRu at its relaxed geometry, with properties calculated at the PBE level.

Computed properties:
E_tot in eV/cell: -55.107
DOS at the Fermi energy in states/eV per cell: 10.071
ΔE_f in eV per atom: -0.044
Volume in A^3/atom: 25.718

abc: 4.4987 16.5341 4.1491
angles: 90.00 90.00 90.00
Positions (direct):
Ru  0.0000  0.5331  0.2500
Ru  0.0000  0.4669  0.7500
Ru  0.5000  0.0331  0.2500
Ru  0.5000  0.9669  0.7500
Tl  0.0000  0.7003  0.2500
Tl  0.0000  0.2997  0.7500
Tl  0.5000  0.2003  0.2500
Tl  0.5000  0.7997  0.7500
Ca  0.0000  0.9083  0.2500
Ca  0.0000  0.0917  0.7500
Ca  0.5000  0.4083  0.2500
Ca  0.5000  0.5917  0.7500



Below is crystalline Sr2MnGe3Au12 at its relaxed geometry, with properties calculated at the PBE level.

Computed properties:
E_tot in eV/cell: -66.229
DOS at the Fermi energy in states/eV per cell: 5.145
ΔE_f in eV per atom: -0.029
Volume in A^3/atom: 24.401

abc: 7.8845 7.8845 7.8845
angles: 73.46 73.46 73.46
Positions (direct):
Sr  0.6108  0.6108  0.6108
Sr  0.3892  0.3892  0.3892
Mn  0.0000  0.0000  0.0000
Ge  0.5000  0.0000  0.0000
Ge  0.0000  0.5000  0.0000
Ge  0.0000  0.0000  0.5000
Au  0.3164  0.3164  0.8398
Au  0.8548  0.8548  0.3479
Au  0.3479  0.8548  0.8548
Au  0.8398  0.3164  0.3164
Au  0.8548  0.3479  0.8548
Au  0.3164  0.8398  0.3164
Au  0.6836  0.6836  0.1602
Au  0.1452  0.1452  0.6521
Au  0.6521  0.1452  0.1452
Au  0.1602  0.6836  0.6836
Au  0.1452  0.6521  0.1452
Au  0.6836  0.1602  0.6836



Below is crystalline SrNiSb3 at its relaxed geometry, with properties calculated at the PBE level.

Computed properties:
E_tot in eV/cell: -20.846
DOS at the Fermi energy in states/eV per cell: 3.515
Uncorrected formation energy in eV per atom: -0.203
Volume in A^3/atom: 27.422

abc: 5.1565 5.1565 5.1565
angles: 90.00 90.00 90.00
Positions (direct):
Sb  0.0000  0.5000  0.0000
Sb  0.0000  0.0000  0.5000
Sb  0.5000  0.0000  0.0000
Ni  0.0000  0.0000  0.0000
Sr  0.5000  0.5000  0.5000